6
Lattice="-1.950 -4.552 0.371 -3.842 -0.815 3.038 -4.499 -0.935 -1.882" Properties=species:S:1:pos:R:3 comment="InFe4As | Alexandria via LeMat-Bulk | PBE | optimized geometry" delta_e_f_kj_per_mol_fu=142 final_energy_ev_per_atom=-6.628 density_g_cm3=7.92 pbc="T T T"
Fe -5.455 -1.669 0.769
Fe -4.513 -3.529 -0.559
Fe -6.426 -3.935 0.954
Fe -4.186 -3.470 1.891
As 0.000 0.000 0.000
In -2.573 -1.575 0.382